1.
Density functional theory data (PBEsol) for a relaxed structure of Hf2MnCo.

The structure in POSCAR format:
```
Hf2MnCo
1.0
-0.744 2.886 -3.218
-3.477 2.665 0.205
0.564 4.289 0.726
Co Hf Mn
1 2 1
direct
0.500 0.500 0.500
0.250 0.250 0.250
0.750 0.750 0.750
0.000 0.000 0.000
```

As for the space-group type: Fm-3m, No. 225. Its total energy is -39.7 eV per cell. The calculation puts the calculated volume at 59.66 Å³/f.u.

=====

2.
Density functional theory data (PBEsol) for a relaxed structure of HfMn2CoPt.

The structure in POSCAR format:
```
HfMn2CoPt
1.0
4.099 0.000 0.000
0.000 4.099 0.000
0.000 0.000 4.694
Hf Co Mn Pt
1 1 2 1
direct
0.500 0.500 0.500
0.000 0.000 0.000
0.500 0.000 0.000
0.000 0.500 0.000
0.000 0.000 0.500
```

As for the space-group type: P4/mmm, No. 123. Its total energy is -41.7 eV per cell. The calculation puts the calculated volume at 78.86 Å³/f.u.